# BaNiO3

A geometry-optimized BaNiO3 structure (GGA+U, Alexandria via LeMat-Bulk).

a b c (Å): 5.7152 5.7152 4.8238
angles (deg): 90.00 90.00 120.00
Atoms (fractional coordinates):
Ba 0.3333 0.6667 0.0000
Ba 0.6667 0.3333 0.5000
Ni 0.0000 0.0000 0.2387
Ni 0.0000 0.0000 0.7387
O 0.1465 0.2930 0.4884
O 0.1465 0.8535 0.4884
O 0.2930 0.1465 0.9884
O 0.7070 0.8535 0.4884
O 0.8535 0.1465 0.9884
O 0.8535 0.7070 0.9884

Computed properties:
As for the final energy: -5.388 eV/atom. For the spin magnetization, the calculation gives 0.0000 μB per atom. The symmetry is No. 186.